DFT (PBE-GGA) results for a relaxed structure of AlP2Au.

```
4
Lattice="4.4857 0.0000 0.0000 0.0000 3.6296 0.0000 -1.2025 0.0000 4.4171" Properties=species:S:1:pos:R:3 pbc="T T T"
Al 0.0000 0.0000 0.0000
P 0.4146 1.8148 3.5182
P 2.8685 1.8148 0.8989
Au 1.6416 0.0000 2.2086
```

Properties
- M_tot: 0.00 μB per formula unit
- Final energy: -18.0 eV for the cell shown
- Space-group type: P2/m

=====

DFT (PBE-GGA) results for a relaxed structure of CuIF3.

```
5
Lattice="4.6849 0.0000 0.0000 0.0000 4.6849 0.0000 0.0000 0.0000 4.6849" Properties=species:S:1:pos:R:3 pbc="T T T"
Cu 0.0000 0.0000 0.0000
I 2.3425 2.3425 2.3425
F 0.0000 2.3425 2.3425
F 2.3425 0.0000 2.3425
F 2.3425 2.3425 0.0000
```

Properties
- Uncorrected formation energy: -333 meV/atom
- M_tot: 0.00 μB per formula unit
- Final energy: -12.9 eV for the cell shown
- Space-group type: Pm-3m

=====

DFT (PBE-GGA) results for a relaxed structure of IrC.

```
4
Lattice="1.4366 -3.8157 0.0000 1.4366 3.8157 0.0000 0.0000 0.0000 4.0990" Properties=species:S:1:pos:R:3 pbc="T T T"
Ir 1.4366 2.9217 3.0743
Ir 1.4366 -2.9217 1.0248
C 1.4366 2.4154 1.0248
C 1.4366 -2.4154 3.0743
```

Properties
- M_tot: 0.00 μB per formula unit
- Final energy: -32.2 eV for the cell shown
- Space-group type: Cmcm

=====

DFT (PBE-GGA) results for a relaxed structure of Dy3Er2Cd2.

```
7
Lattice="4.6320 -2.6764 0.0000 4.6320 2.6764 0.0000 -3.0946 0.0000 7.9076" Properties=species:S:1:pos:R:3 pbc="T T T"
Dy 0.0000 0.0000 0.0000
Dy -0.0014 0.0000 3.7149
Dy 6.1707 0.0000 4.1927
Er 3.0869 0.0000 2.1989
Er 3.0825 0.0000 5.7087
Cd -0.0046 0.0000 6.8452
Cd 6.1740 0.0000 1.0624
```

Properties
- M_tot: 0.00 μB per formula unit
- Final energy: -25.8 eV for the cell shown
- Space-group type: C2/m

=====

Question: The lowest final energy belongs to which entry?
Answer: IrC